(1)
Compound: YHo7Mg4
Source: Alexandria
Functional: PBE-GGA
Structure: optimized geometry

Cell: 8.026 8.026 9.659 Å, 119.48 119.48 41.71°
Element x y z (fractional)
Y1 0.000 0.000 0.000
Ho1 0.080 0.080 0.425
Ho2 0.204 0.204 0.879
Ho3 0.252 0.252 0.290
Ho4 0.500 0.500 0.000
Ho5 0.748 0.748 0.710
Ho6 0.796 0.796 0.121
Ho7 0.920 0.920 0.575
Mg1 0.325 0.325 0.655
Mg2 0.458 0.458 0.301
Mg3 0.542 0.542 0.699
Mg4 0.675 0.675 0.345

Values from the calculation:
M_tot: 0.3 μB per formula unit
VASP energy: -42.7 eV for the cell shown

***

(2)
Compound: BiWN3
Source: Alexandria
Functional: PBE-GGA
Structure: optimized geometry

Cell: 4.178 4.178 4.178 Å, 90.00 90.00 90.00°
Element x y z (fractional)
Bi1 0.000 0.000 0.000
W1 0.500 0.500 0.500
N1 0.000 0.000 0.500
N2 0.000 0.500 0.000
N3 0.500 0.000 0.000

Values from the calculation:
M_tot: 1.8 μB per formula unit
VASP energy: -29.1 eV for the cell shown

***

(3)
Compound: Mn2AlRu
Source: Alexandria
Functional: PBE-GGA
Structure: optimized geometry

Cell: 8.426 8.426 8.426 Å, 18.41 18.41 18.41°
Element x y z (fractional)
Mn1 0.000 0.000 0.000
Mn2 0.256 0.256 0.256
Al1 0.751 0.751 0.751
Ru1 0.505 0.505 0.505

Values from the calculation:
M_tot: 0.0 μB per formula unit
VASP energy: -31.4 eV for the cell shown

***

(4)
Compound: Ac2C2N5
Source: Alexandria
Functional: PBE-GGA
Structure: optimized geometry

Cell: 8.977 8.977 8.977 Å, 53.55 144.71 141.07°
Element x y z (fractional)
Ac1 0.020 0.130 0.150
Ac2 0.020 0.370 0.390
Ac3 0.980 0.630 0.610
Ac4 0.980 0.870 0.850
C1 0.347 0.347 0.000
C2 0.347 0.847 0.500
C3 0.508 0.764 0.244
C4 0.520 0.264 0.756
N1 0.103 0.324 0.769
N2 0.103 0.834 0.280
N3 0.350 0.603 0.099
N4 0.350 0.751 0.247
N5 0.504 0.103 0.753
N6 0.504 0.251 0.901
N7 0.539 0.440 0.599
N8 0.555 0.334 0.231
N9 0.555 0.824 0.720
N10 0.842 0.940 0.401

Values from the calculation:
M_tot: 0.8 μB per formula unit
VASP energy: -147.3 eV for the cell shown